Here is crystalline Ce2Cd3Hg at its relaxed geometry from Alexandria. Energies are from PBE.

Cell: 6.0853 6.0853 10.2553 Å, 114.96 114.96 65.01°
Element x y z (fractional)
Ce 0.2805 0.7195 0.0000
Ce 0.2500 0.7500 0.5000
Ce 0.7500 0.2500 0.5000
Ce 0.7195 0.2805 0.0000
Cd 0.8388 0.8388 0.1654
Cd 0.6734 0.6734 0.8346
Cd 0.3266 0.3266 0.1654
Cd 0.1642 0.1642 0.3283
Cd 0.8358 0.8358 0.6717
Cd 0.1612 0.1612 0.8346
Hg 0.6683 0.6683 0.3367
Hg 0.3317 0.3317 0.6633

Output
Offset from the most stable computed form: 0.00 kcal/mol of atoms
Symmetry: Fmmm
Energy relative to the elements: -289 meV/atom
Size of the total moment: 4.89 Bohr magnetons per cell
Fermi-level density of states: 25.0 states/eV per cell

=====

Here is crystalline Ce5CdHg2 at its relaxed geometry from Alexandria. Energies are from PBE.

Cell: 4.4979 6.7458 13.7882 Å, 90.00 90.00 90.00°
Element x y z (fractional)
Ce 0.5000 0.2443 0.3652
Ce 0.0000 0.4321 0.7687
Ce 0.0000 0.0679 0.2687
Ce 0.5000 0.2557 0.8652
Ce 0.0000 0.0000 0.0000
Ce 0.0000 0.9321 0.7313
Ce 0.5000 0.7443 0.1348
Ce 0.0000 0.5679 0.2313
Ce 0.0000 0.5000 0.5000
Ce 0.5000 0.7557 0.6348
Hg 0.5000 0.2456 0.6198
Hg 0.5000 0.7544 0.3802
Hg 0.5000 0.2544 0.1198
Hg 0.5000 0.7456 0.8802
Cd 0.0000 0.0000 0.5000
Cd 0.0000 0.5000 0.0000

Output
Symmetry: Pbam
Energy relative to the elements: -163 meV/atom
Size of the total moment: 7.31 Bohr magnetons per cell
Fermi-level density of states: 45.1 states/eV per cell

=====

Here is crystalline Ce4Cd2Hg at its relaxed geometry from Alexandria. Energies are from PBE.

Cell: 3.2778 4.5923 11.9874 Å, 101.04 90.00 90.00°
Element x y z (fractional)
Cd 0.5000 0.7840 0.5680
Cd 0.5000 0.2160 0.4320
Ce 0.5000 0.9223 0.8445
Ce 0.5000 0.0777 0.1555
Ce 0.0000 0.3582 0.7165
Ce 0.0000 0.6418 0.2835
Hg 0.0000 0.5000 0.0000

Output
Symmetry: Cmmm
Energy relative to the elements: -128 meV/atom
Size of the total moment: 1.61 Bohr magnetons per cell
Fermi-level density of states: 15.5 states/eV per cell

=====

Here is crystalline Ce3Cd4Hg2 at its relaxed geometry from Alexandria. Energies are from PBE.

Cell: 4.4117 7.8644 7.8644 Å, 120.00 90.00 90.00°
Element x y z (fractional)
Cd 0.5000 0.0000 0.0000
Cd 0.0000 0.2475 0.2475
Cd 0.0000 0.0000 0.7525
Cd 0.0000 0.7525 0.0000
Hg 0.0000 0.6667 0.3333
Hg 0.0000 0.3333 0.6667
Ce 0.5000 0.0000 0.4218
Ce 0.5000 0.4218 0.0000
Ce 0.5000 0.5782 0.5782

Output
Offset from the most stable computed form: 0.83 kcal/mol of atoms
Symmetry: P-62m
Energy relative to the elements: -260 meV/atom
Size of the total moment: 3.09 Bohr magnetons per cell
Fermi-level density of states: 23.2 states/eV per cell

=====

Here is crystalline CeCd2Hg at its relaxed geometry from Alexandria. Energies are from PBE.

Cell: 3.4383 3.4383 8.3966 Å, 90.00 90.00 90.00°
Element x y z (fractional)
Ce 0.5000 0.5000 0.5000
Cd 0.0000 0.0000 0.2282
Cd 0.0000 0.0000 0.7718
Hg 0.5000 0.5000 0.0000

Output
Offset from the most stable computed form: 3.90 kcal/mol of atoms
Symmetry: P4/mmm
Energy relative to the elements: -108 meV/atom
Size of the total moment: 1.01 Bohr magnetons per cell
Fermi-level density of states: 6.6 states/eV per cell

=====

Here is crystalline CeCdHg5 at its relaxed geometry from Alexandria. Energies are from PBE.

Cell: 5.0013 5.0013 7.4180 Å, 90.00 90.00 90.00°
Element x y z (fractional)
Hg 0.5000 0.0000 0.2813
Hg 0.5000 0.0000 0.7187
Hg 0.5000 0.5000 0.0000
Hg 0.0000 0.5000 0.7187
Hg 0.0000 0.5000 0.2813
Ce 0.0000 0.0000 0.0000
Cd 0.0000 0.0000 0.5000

Output
Symmetry: P4/mmm
Energy relative to the elements: -182 meV/atom
Size of the total moment: 1.12 Bohr magnetons per cell
Fermi-level density of states: 10.5 states/eV per cell

=====

Here is crystalline Ce4CdHg2 at its relaxed geometry from Alexandria. Energies are from PBE.

Cell: 5.2911 5.2911 7.9291 Å, 70.51 70.51 60.00°
Element x y z (fractional)
Ce 0.2767 0.2767 0.1700
Ce 0.4022 0.4022 0.7933
Ce 0.5978 0.5978 0.2067
Ce 0.7233 0.7233 0.8300
Hg 0.8645 0.8645 0.4066
Hg 0.1355 0.1355 0.5934
Cd 0.0000 0.0000 0.0000

Output
Symmetry: R-3m
Energy relative to the elements: -96 meV/atom
Size of the total moment: 3.00 Bohr magnetons per cell
Fermi-level density of states: 17.6 states/eV per cell

=====

Here is crystalline Ce3CdHg3 at its relaxed geometry from Alexandria. Energies are from PBE.

Cell: 8.0352 6.6569 7.2013 Å, 88.29 90.05 91.41°
Element x y z (fractional)
Ce 0.5025 0.9477 0.6978
Ce 0.0012 0.0289 0.1912
Ce 0.4975 0.0523 0.3022
Ce 0.0054 0.4578 0.1919
Ce 0.9988 0.9711 0.8088
Ce 0.9946 0.5422 0.8081
Hg 0.6906 0.2591 0.9605
Hg 0.7827 0.7337 0.4689
Hg 0.2173 0.2663 0.5311
Hg 0.3094 0.7409 0.0395
Hg 0.2086 0.7411 0.4730
Hg 0.7914 0.2589 0.5270
Cd 0.6774 0.7048 0.0545
Cd 0.3226 0.2952 0.9455

Output
Symmetry: P-1
Energy relative to the elements: -169 meV/atom
Size of the total moment: 3.48 Bohr magnetons per cell
Fermi-level density of states: 29.3 states/eV per cell